1.
# PBE-GGA LiHoHg, optimized geometry
data_LiHoHg
_chemical_formula_sum 'Li1 Ho1 Hg1'
_cell_length_a 3.386
_cell_length_b 4.794
_cell_length_c 4.794
_cell_angle_alpha 120.00
_cell_angle_beta 90.00
_cell_angle_gamma 90.00
_space_group_name_H-M_alt 'P 1'
_space_group_IT_number 1
loop_
_space_group_symop_operation_xyz
'x,y,z'
loop_
_atom_site_label
_atom_site_type_symbol
_atom_site_fract_x
_atom_site_fract_y
_atom_site_fract_z
Ho1 Ho 0.667 0.667 0.333
Hg1 Hg 0.167 0.333 0.667
Li1 Li 0.166 0.000 0.000
# **ρ**: 9.2 Mg/m³
# **Energy of formation from the pure elements**: -0.29 eV per atom
# **Distance to the lowest polymorph of the same formula**: 70 meV/atom
# **Size of the total moment**: 0.0 μB/f.u.



2.
# PBE-GGA Li2HoHg6, optimized geometry
data_Li2HoHg6
_chemical_formula_sum 'Li4 Ho2 Hg12'
_cell_length_a 5.265
_cell_length_b 8.992
_cell_length_c 8.992
_cell_angle_alpha 75.42
_cell_angle_beta 82.70
_cell_angle_gamma 82.70
_space_group_name_H-M_alt 'P 1'
_space_group_IT_number 1
loop_
_space_group_symop_operation_xyz
'x,y,z'
loop_
_atom_site_label
_atom_site_type_symbol
_atom_site_fract_x
_atom_site_fract_y
_atom_site_fract_z
Hg1 Hg 0.974 0.438 0.678
Hg2 Hg 0.348 0.896 0.643
Hg3 Hg 0.806 0.009 0.753
Li1 Li 0.911 0.787 0.538
Hg4 Hg 0.474 0.678 0.438
Hg5 Hg 0.306 0.753 0.009
Hg6 Hg 0.526 0.322 0.562
Li2 Li 0.411 0.538 0.787
Li3 Li 0.089 0.213 0.462
Li4 Li 0.589 0.462 0.213
Ho1 Ho 0.250 0.126 0.874
Hg7 Hg 0.152 0.357 0.104
Ho2 Ho 0.750 0.874 0.126
Hg8 Hg 0.694 0.247 0.991
Hg9 Hg 0.848 0.643 0.896
Hg10 Hg 0.194 0.991 0.247
Hg11 Hg 0.652 0.104 0.357
Hg12 Hg 0.026 0.562 0.322
# **ρ**: 11.3 Mg/m³
# **Energy of formation from the pure elements**: -0.27 eV per atom
# **Size of the total moment**: 0.0 μB/f.u.



3.
# PBE-GGA Li4Ho3Hg4, optimized geometry
data_Li4Ho3Hg4
_chemical_formula_sum 'Li4 Ho3 Hg4'
_cell_length_a 4.411
_cell_length_b 7.652
_cell_length_c 8.501
_cell_angle_alpha 116.75
_cell_angle_beta 105.03
_cell_angle_gamma 90.00
_space_group_name_H-M_alt 'P 1'
_space_group_IT_number 1
loop_
_space_group_symop_operation_xyz
'x,y,z'
loop_
_atom_site_label
_atom_site_type_symbol
_atom_site_fract_x
_atom_site_fract_y
_atom_site_fract_z
Hg1 Hg 0.500 0.796 0.000
Ho1 Ho 0.116 0.116 0.233
Hg2 Hg 0.775 0.275 0.550
Li1 Li 0.677 0.490 0.353
Li2 Li 0.323 0.510 0.647
Hg3 Hg 0.225 0.725 0.450
Li3 Li 0.677 0.863 0.353
Ho2 Ho 0.884 0.884 0.767
Hg4 Hg 0.500 0.204 0.000
Li4 Li 0.323 0.137 0.647
Ho3 Ho 0.000 0.500 0.000
# **ρ**: 9.0 Mg/m³
# **Energy of formation from the pure elements**: -0.31 eV per atom
# **Size of the total moment**: 0.0 μB/f.u.